A relaxed Rb3TbEr2S6 crystal. Source: Alexandria via LeMat-Bulk, functional PBE.

```
12
Lattice="-5.728 -0.129 4.086 -0.352 -2.342 -6.627 3.895 -6.235 3.243" Properties=species:S:1:pos:R:3 pbc="T T T"
Rb -2.886 -3.615 3.926
Rb 0.702 -5.092 -3.224
Rb -1.092 -4.353 0.351
S 1.492 -5.718 1.930
S -1.571 -1.392 1.833
S -2.423 -6.569 2.474
S 0.239 -2.137 -1.772
S -0.614 -7.314 -1.131
S -3.677 -2.988 -1.228
Er -2.144 -1.605 -3.056
Er -3.936 -0.867 0.515
Tb 0.000 0.000 0.000
```

## Properties
Calculated total energy ... -63.7 eV/cell
Uncorrected formation energy ... -1.85 eV per atom